Record 1
Below is a geometry-optimized LiHf2SiI structure, with properties calculated at the PBE-GGA level.

- V (A^3/atom) = 20.6
- formation energy (no corrections) (eV/atom) = 0.841
- VASP energy (eV/atom) = -4.918
- total magnetic moment (μB/f.u.) = 0.000

a b c (Å): 4.921 4.259 4.921
angles (deg): 90.00 90.00 90.00
Positions (direct):
I (0.000, 0.500, 0.000)
Si (0.500, 0.500, 0.500)
Hf (0.000, 0.000, 0.500)
Hf (0.500, 0.000, 0.000)
Li (0.000, 0.000, 0.000)


Record 2
Below is a geometry-optimized TcTe4Ir structure, with properties calculated at the PBE-GGA level.

- ΔE to the lowest computed polymorph (meV/atom) = 1794.1
- V (A^3/atom) = 26.2
- formation energy (no corrections) (eV/atom) = 1.602
- VASP energy (eV/atom) = -3.697
- total magnetic moment (μB/f.u.) = 3.597

a b c (Å): 6.055 6.055 6.055
angles (deg): 60.00 60.00 60.00
Each line ends with the local moment (μB).
Positions (direct):
Tc (0.000, 0.000, 0.000)  3.36
Te (0.873, 0.376, 0.376)  0.00
Te (0.376, 0.376, 0.873)  0.00
Te (0.376, 0.873, 0.376)  0.00
Te (0.376, 0.376, 0.376)  0.00
Ir (0.750, 0.750, 0.750)  -0.17


Record 3
Below is a geometry-optimized Sm3Cu3Bi4 structure, with properties calculated at the PBE-GGA level.

- V (A^3/atom) = 24.6
- VASP energy (eV/atom) = -4.757
- total magnetic moment (μB/f.u.) = 0.000

a b c (Å): 8.608 8.608 8.608
angles (deg): 109.47 109.47 109.47
Positions (direct):
Sm (0.625, 0.750, 0.875)
Sm (0.875, 0.250, 0.625)
Sm (0.125, 0.375, 0.250)
Sm (0.375, 0.125, 0.750)
Sm (0.250, 0.875, 0.125)
Sm (0.750, 0.625, 0.375)
Cu (0.125, 0.750, 0.375)
Cu (0.375, 0.250, 0.125)
Cu (0.625, 0.875, 0.250)
Cu (0.875, 0.625, 0.750)
Cu (0.250, 0.375, 0.625)
Cu (0.750, 0.125, 0.875)
Bi (0.000, 0.000, 0.335)
Bi (0.500, 0.335, 0.500)
Bi (0.665, 0.165, 0.165)
Bi (0.000, 0.000, 0.835)
Bi (0.835, 0.500, 0.000)
Bi (0.500, 0.835, 0.500)
Bi (0.335, 0.500, 0.000)
Bi (0.165, 0.665, 0.665)


Record 4
Below is a geometry-optimized ZrSc2F structure, with properties calculated at the PBE-GGA level.

- ΔE to the lowest computed polymorph (meV/atom) = 1144.1
- V (A^3/atom) = 21.3
- formation energy (no corrections) (eV/atom) = 0.009
- VASP energy (eV/atom) = -5.762
- total magnetic moment (μB/f.u.) = 1.619

a b c (Å): 4.937 4.937 4.937
angles (deg): 60.00 60.00 60.00
Each line ends with the local moment (μB).
Positions (direct):
Sc (0.250, 0.250, 0.250)  0.19
Sc (0.750, 0.750, 0.750)  0.19
Zr (0.500, 0.500, 0.500)  0.73
F (0.000, 0.000, 0.000)  0.00


Record 5
Below is a geometry-optimized AcHoPd4 structure, with properties calculated at the PBE-GGA level.

- ΔE to the lowest computed polymorph (meV/atom) = 73.5
- V (A^3/atom) = 20.3
- VASP energy (eV/atom) = -5.676
- total magnetic moment (μB/f.u.) = 0.000

a b c (Å): 5.561 5.561 5.561
angles (deg): 60.00 60.00 60.00
Positions (direct):
Ac (0.000, 0.000, 0.000)
Ho (0.250, 0.250, 0.250)
Pd (0.624, 0.624, 0.127)
Pd (0.624, 0.127, 0.624)
Pd (0.624, 0.624, 0.624)
Pd (0.127, 0.624, 0.624)


Record 6
Below is a geometry-optimized Tb2BN3 structure, with properties calculated at the PBE-GGA level.

- V (A^3/atom) = 12.4
- formation energy (no corrections) (eV/atom) = -0.960
- VASP energy (eV/atom) = -7.779
- total magnetic moment (μB/f.u.) = 0.000

a b c (Å): 3.337 4.112 6.043
angles (deg): 109.89 106.03 90.00
Positions (direct):
Tb (0.646, 0.646, 0.292)
Tb (0.354, 0.354, 0.708)
B (0.000, 0.000, 0.000)
N (0.000, 0.500, 0.000)
N (0.864, 0.864, 0.728)
N (0.136, 0.136, 0.272)


Record 7
Below is a geometry-optimized SrZrZn2 structure, with properties calculated at the PBE-GGA level.

- V (A^3/atom) = 27.1
- VASP energy (eV/atom) = -2.879
- total magnetic moment (μB/f.u.) = 0.000

a b c (Å): 7.795 7.795 6.568
angles (deg): 53.60 53.60 90.00
Positions (direct):
Sr (0.500, 0.500, 0.000)
Sr (0.250, 0.750, 0.500)
Zn (0.666, 0.125, 0.250)
Zn (0.084, 0.625, 0.250)
Zn (0.375, 0.334, 0.750)
Zn (0.875, 0.916, 0.750)
Zr (0.000, 0.000, 0.000)
Zr (0.750, 0.250, 0.500)


Record 8
Below is a geometry-optimized CrNiRh structure, with properties calculated at the PBE-GGA level.

- ΔE to the lowest computed polymorph (meV/atom) = 66.5
- V (A^3/atom) = 12.3
- VASP energy (eV/atom) = -7.570
- total magnetic moment (μB/f.u.) = 0.000

a b c (Å): 4.098 4.799 4.799
angles (deg): 92.92 64.72 64.72
Positions (direct):
Cr (0.000, 0.838, 0.162)
Cr (0.000, 0.162, 0.838)
Ni (0.500, 0.669, 0.331)
Ni (0.500, 0.331, 0.669)
Rh (0.253, 0.247, 0.247)
Rh (0.747, 0.753, 0.753)


Record 9
Below is a geometry-optimized Ni3AuSe structure, with properties calculated at the PBE-GGA level.

- ΔE to the lowest computed polymorph (meV/atom) = 0.0
- V (A^3/atom) = 16.2
- formation energy (no corrections) (eV/atom) = 0.356
- VASP energy (eV/atom) = -4.465
- total magnetic moment (μB/f.u.) = 0.000

a b c (Å): 4.323 4.323 4.323
angles (deg): 90.00 90.00 90.00
Positions (direct):
Ni (0.000, 0.500, 0.000)
Ni (0.000, 0.000, 0.500)
Ni (0.500, 0.000, 0.000)
Au (0.500, 0.500, 0.500)
Se (0.000, 0.000, 0.000)


Record 10
Below is a geometry-optimized SrLiPbBr5 structure, with properties calculated at the PBE-GGA level.

- V (A^3/atom) = 36.4
- formation energy (no corrections) (eV/atom) = -1.463
- VASP energy (eV/atom) = -3.422
- total magnetic moment (μB/f.u.) = 0.000

a b c (Å): 7.855 7.855 10.814
angles (deg): 104.56 104.56 106.09
Positions (direct):
Sr (0.000, 0.000, 0.500)
Sr (0.000, 0.000, 0.000)
Li (0.683, 0.317, 0.250)
Li (0.317, 0.683, 0.750)
Pb (0.370, 0.630, 0.250)
Pb (0.630, 0.370, 0.750)
Br (0.117, 0.883, 0.250)
Br (0.883, 0.117, 0.750)
Br (0.967, 0.351, 0.173)
Br (0.033, 0.649, 0.827)
Br (0.649, 0.033, 0.327)
Br (0.351, 0.967, 0.673)
Br (0.705, 0.603, 0.438)
Br (0.295, 0.397, 0.562)
Br (0.397, 0.295, 0.062)
Br (0.603, 0.705, 0.938)


Record 11
Below is a geometry-optimized Ni2OsCl structure, with properties calculated at the PBE-GGA level.

- ΔE to the lowest computed polymorph (meV/atom) = 679.5
- V (A^3/atom) = 16.4
- formation energy (no corrections) (eV/atom) = 0.949
- VASP energy (eV/atom) = -5.210
- total magnetic moment (μB/f.u.) = 1.011

a b c (Å): 6.005 6.005 5.593
angles (deg): 57.53 57.53 90.00
Each line ends with the local moment (μB).
Positions (direct):
Ni (0.619, 0.125, 0.250)  0.21
Ni (0.131, 0.625, 0.250)  0.21
Ni (0.375, 0.381, 0.750)  0.21
Ni (0.875, 0.869, 0.750)  0.21
Os (0.000, 0.000, 0.000)  0.55
Os (0.750, 0.250, 0.500)  0.54
Cl (0.500, 0.500, 0.000)  0.02
Cl (0.250, 0.750, 0.500)  0.02


Record 12
Below is a geometry-optimized Si4NiPt structure, with properties calculated at the PBE-GGA level.

- V (A^3/atom) = 14.3
- formation energy (no corrections) (eV/atom) = 0.414
- VASP energy (eV/atom) = -5.171
- total magnetic moment (μB/f.u.) = 0.000

a b c (Å): 4.951 4.951 4.951
angles (deg): 60.00 60.00 60.00
Positions (direct):
Si (0.874, 0.375, 0.375)
Si (0.375, 0.375, 0.874)
Si (0.375, 0.874, 0.375)
Si (0.375, 0.375, 0.375)
Ni (0.750, 0.750, 0.750)
Pt (0.000, 0.000, 0.000)


Record 13
Below is a geometry-optimized Ni2AsW structure, with properties calculated at the PBE-GGA level.

- V (A^3/atom) = 13.3
- VASP energy (eV/atom) = -7.079
- total magnetic moment (μB/f.u.) = 0.001

a b c (Å): 4.677 4.677 4.677
angles (deg): 133.39 133.39 68.05
Positions (direct):
As (0.750, 0.250, 0.500)
Ni (0.000, 0.000, 0.000)
Ni (0.500, 0.500, 0.000)
W (0.250, 0.750, 0.500)


Record 14
Below is a geometry-optimized CuNiSe2 structure, with properties calculated at the PBE-GGA level.

- V (A^3/atom) = 19.6
- formation energy (no corrections) (eV/atom) = -0.121
- VASP energy (eV/atom) = -4.332
- total magnetic moment (μB/f.u.) = 0.000

a b c (Å): 3.588 6.257 7.231
angles (deg): 104.76 90.00 90.00
Positions (direct):
Cu (0.250, 0.153, 0.009)
Cu (0.750, 0.847, 0.991)
Ni (0.250, 0.751, 0.492)
Ni (0.750, 0.249, 0.508)
Se (0.750, 0.870, 0.316)
Se (0.250, 0.356, 0.327)
Se (0.750, 0.644, 0.673)
Se (0.250, 0.130, 0.684)


Record 15
Below is a geometry-optimized GdZnCdCu structure, with properties calculated at the PBE-GGA level.

- V (A^3/atom) = 19.4
- VASP energy (eV/atom) = -5.349
- total magnetic moment (μB/f.u.) = 7.211

a b c (Å): 4.790 4.790 4.790
angles (deg): 60.00 60.00 60.00
Each line ends with the local moment (μB).
Positions (direct):
Zn (0.500, 0.500, 0.500)  0.01
Gd (0.250, 0.250, 0.250)  7.04
Cu (0.000, 0.000, 0.000)  0.01
Cd (0.750, 0.750, 0.750)  0.00


Record 16
Below is a geometry-optimized SrZr2PtO8 structure, with properties calculated at the PBE-GGA level.

- V (A^3/atom) = 13.9
- formation energy (no corrections) (eV/atom) = -2.133
- VASP energy (eV/atom) = -7.507
- total magnetic moment (μB/f.u.) = 0.000

a b c (Å): 4.988 4.939 6.766
angles (deg): 90.00 90.00 88.04
Positions (direct):
Sr (0.000, 0.000, 0.500)
Zr (0.500, 0.500, 0.744)
Zr (0.500, 0.500, 0.256)
Pt (0.000, 0.000, 0.000)
O (0.199, 0.787, 0.202)
O (0.712, 0.725, 0.000)
O (0.801, 0.213, 0.202)
O (0.801, 0.213, 0.798)
O (0.288, 0.275, 0.000)
O (0.199, 0.787, 0.798)
O (0.663, 0.682, 0.500)
O (0.337, 0.318, 0.500)


Record 17
Below is a geometry-optimized YGaSnBr6 structure, with properties calculated at the PBE-GGA level.

- V (A^3/atom) = 36.6
- formation energy (no corrections) (eV/atom) = -1.192
- VASP energy (eV/atom) = -3.806
- total magnetic moment (μB/f.u.) = 0.000

a b c (Å): 7.066 7.066 13.197
angles (deg): 90.00 90.00 90.00
Positions (direct):
Y (0.500, 0.500, 0.832)
Y (0.000, 0.000, 0.332)
Ga (0.500, 0.500, 0.501)
Ga (0.000, 0.000, 0.001)
Sn (0.500, 0.500, 0.166)
Sn (0.000, 0.000, 0.666)
Br (0.187, 0.813, 0.494)
Br (0.813, 0.187, 0.494)
Br (0.313, 0.313, 0.994)
Br (0.687, 0.687, 0.994)
Br (0.196, 0.804, 0.178)
Br (0.804, 0.196, 0.178)
Br (0.304, 0.304, 0.678)
Br (0.696, 0.696, 0.678)
Br (0.782, 0.218, 0.829)
Br (0.218, 0.782, 0.829)
Br (0.718, 0.718, 0.329)
Br (0.282, 0.282, 0.329)


Record 18
Below is a geometry-optimized Mg2AlGa2 structure, with properties calculated at the PBE-GGA level.

- ΔE to the lowest computed polymorph (meV/atom) = 211.0
- V (A^3/atom) = 20.8
- VASP energy (eV/atom) = -2.478
- total magnetic moment (μB/f.u.) = 0.000

a b c (Å): 4.178 4.178 6.650
angles (deg): 71.69 71.69 90.00
Positions (direct):
Mg (0.750, 0.250, 0.500)
Mg (0.250, 0.750, 0.500)
Al (0.000, 0.000, 0.000)
Ga (0.400, 0.400, 0.200)
Ga (0.600, 0.600, 0.800)


Record 19
Below is a geometry-optimized CaSnRu2 structure, with properties calculated at the PBE-GGA level.

- V (A^3/atom) = 20.9
- VASP energy (eV/atom) = -5.580
- total magnetic moment (μB/f.u.) = 0.906

a b c (Å): 7.503 7.503 6.082
angles (deg): 51.91 51.91 90.00
Each line ends with the local moment (μB).
Positions (direct):
Ru (0.664, 0.125, 0.250)  0.45
Ru (0.086, 0.625, 0.250)  0.45
Ru (0.375, 0.336, 0.750)  0.45
Ru (0.875, 0.914, 0.750)  0.45
Ca (0.500, 0.500, 0.000)  -0.01
Ca (0.250, 0.750, 0.500)  -0.01
Sn (0.000, 0.000, 0.000)  -0.01
Sn (0.750, 0.250, 0.500)  -0.01


Record 20
Below is a geometry-optimized RbFeMoRu2 structure, with properties calculated at the PBE-GGA level.

- V (A^3/atom) = 22.1
- VASP energy (eV/atom) = -6.303
- total magnetic moment (μB/f.u.) = 2.780

a b c (Å): 4.791 4.819 4.791
angles (deg): 90.00 90.00 90.00
Each line ends with the local moment (μB).
Positions (direct):
Ru (0.000, 0.000, 0.500)  0.38
Ru (0.500, 0.000, 0.000)  0.29
Mo (0.000, 0.000, 0.000)  -0.41
Fe (0.000, 0.500, 0.000)  2.57
Rb (0.500, 0.500, 0.500)  -0.01


Record 21
Below is a geometry-optimized LaScCl2 structure, with properties calculated at the PBE-GGA level.

- ΔE to the lowest computed polymorph (meV/atom) = 393.3
- V (A^3/atom) = 21.7
- formation energy (no corrections) (eV/atom) = -0.978
- VASP energy (eV/atom) = -4.716
- total magnetic moment (μB/f.u.) = 0.000

a b c (Å): 4.973 4.973 4.973
angles (deg): 60.00 60.00 60.00
Positions (direct):
Sc (0.000, 0.000, 0.000)
Cl (0.250, 0.250, 0.250)
Cl (0.750, 0.750, 0.750)
La (0.500, 0.500, 0.500)


Record 22
Below is a geometry-optimized TaFeOs2 structure, with properties calculated at the PBE-GGA level.

- V (A^3/atom) = 14.5
- VASP energy (eV/atom) = -10.804
- total magnetic moment (μB/f.u.) = 1.748

a b c (Å): 3.810 3.900 3.900
angles (deg): 90.00 90.00 90.00
Each line ends with the local moment (μB).
Positions (direct):
Os (0.000, 0.000, 0.000)  0.02
Os (0.000, 0.500, 0.500)  0.02
Fe (0.500, 0.000, 0.500)  1.80
Ta (0.500, 0.500, 0.000)  -0.10


Record 23
Below is a geometry-optimized Er4Tl2TeAs structure, with properties calculated at the PBE-GGA level.

- V (A^3/atom) = 27.9
- formation energy (no corrections) (eV/atom) = -0.817
- VASP energy (eV/atom) = -4.664
- total magnetic moment (μB/f.u.) = 0.000

a b c (Å): 4.027 7.038 8.194
angles (deg): 106.31 90.00 90.00
Positions (direct):
Er (0.500, 0.225, 0.221)
Er (0.500, 0.775, 0.779)
Er (0.000, 0.239, 0.767)
Er (0.000, 0.761, 0.233)
Tl (0.500, 0.000, 0.500)
Tl (0.000, 0.500, 0.500)
Te (0.500, 0.500, 0.000)
As (0.000, 0.000, 0.000)


Record 24
Below is a geometry-optimized K5Rb2InHg2 structure, with properties calculated at the PBE-GGA level.

- V (A^3/atom) = 51.7
- VASP energy (eV/atom) = -1.161
- total magnetic moment (μB/f.u.) = 0.000

a b c (Å): 4.839 14.621 14.621
angles (deg): 90.00 90.00 90.00
Positions (direct):
K (0.500, 0.194, 0.060)
K (0.500, 0.806, 0.940)
K (0.500, 0.060, 0.806)
K (0.500, 0.694, 0.440)
K (0.500, 0.940, 0.194)
K (0.500, 0.306, 0.560)
K (0.500, 0.560, 0.694)
K (0.500, 0.440, 0.306)
K (0.500, 0.500, 0.000)
K (0.500, 0.000, 0.500)
Rb (0.000, 0.678, 0.178)
Rb (0.000, 0.322, 0.822)
Rb (0.000, 0.178, 0.322)
Rb (0.000, 0.822, 0.678)
In (0.000, 0.000, 0.000)
In (0.000, 0.500, 0.500)
Hg (0.000, 0.132, 0.632)
Hg (0.000, 0.868, 0.368)
Hg (0.000, 0.632, 0.868)
Hg (0.000, 0.368, 0.132)